An optimized crystal structure of Ba8Pt4I. Source: the Alexandria database, functional PBE.

Results
spin magnetization: 0.0 Bohr magnetons per cell
energy: -3.91 eV/atom

The structure in CIF format:
```
data_Ba8Pt4I
_chemical_formula_sum 'Ba16 Pt8 I2'
_cell_length_a 22.693
_cell_length_b 4.680
_cell_length_c 15.998
_cell_angle_alpha 90.00
_cell_angle_beta 134.28
_cell_angle_gamma 90.00
_space_group_name_H-M_alt 'C 1 m 1'
_space_group_IT_number 8
loop_
_space_group_symop_operation_xyz
'x,y,z'
'x,-y,z'
'x+1/2,y+1/2,z'
'x+1/2,-y+1/2,z'
loop_
_atom_site_label
_atom_site_type_symbol
_atom_site_fract_x
_atom_site_fract_y
_atom_site_fract_z
Ba1 Ba 0.000 0.000 0.000
Ba2 Ba 0.007 0.000 0.740
Ba3 Ba 0.045 0.000 0.383
Ba4 Ba 0.153 0.500 0.695
Ba5 Ba 0.184 0.500 0.331
Ba6 Ba 0.198 0.500 0.076
Ba7 Ba 0.307 0.000 0.657
Ba8 Ba 0.390 0.000 0.420
Pt1 Pt 0.003 0.500 0.868
Pt2 Pt 0.021 0.000 0.556
Pt3 Pt 0.178 0.500 0.524
Pt4 Pt 0.194 0.000 0.207
I1 I 0.456 0.000 0.133
```

=====

An optimized crystal structure of SrHfTa3. Source: the Alexandria database, functional PBE.

Results
spin magnetization: 0.0 Bohr magnetons per cell
formation energy from the elements: 1583 meV per atom
energy above the most stable polymorph in this dataset: 0 meV per atom

The structure in CIF format:
```
data_SrHfTa3
_chemical_formula_sum 'Sr1 Hf1 Ta3'
_cell_length_a 5.091
_cell_length_b 5.091
_cell_length_c 5.091
_cell_angle_alpha 90.00
_cell_angle_beta 90.00
_cell_angle_gamma 90.00
_space_group_name_H-M_alt 'P m -3 m'
_space_group_IT_number 221
_space_group_name_Hall '-P 4 2 3'
loop_
_atom_site_label
_atom_site_type_symbol
_atom_site_fract_x
_atom_site_fract_y
_atom_site_fract_z
Sr1 Sr 0.000 0.000 0.000
Hf1 Hf 0.500 0.500 0.500
Ta1 Ta 0.000 0.500 0.500
```

=====

An optimized crystal structure of K2SrIn. Source: the Alexandria database, functional PBE.

Results
spin magnetization: 0.0 Bohr magnetons per cell
formation energy from the elements: 21 meV per atom

The structure in CIF format:
```
data_K2SrIn
_chemical_formula_sum 'K4 Sr2 In2'
_cell_length_a 5.256
_cell_length_b 5.256
_cell_length_c 13.049
_cell_angle_alpha 90.00
_cell_angle_beta 90.00
_cell_angle_gamma 90.00
_space_group_name_H-M_alt 'I 4/m m m'
_space_group_IT_number 139
_space_group_name_Hall '-I 4 2'
loop_
_atom_site_label
_atom_site_type_symbol
_atom_site_fract_x
_atom_site_fract_y
_atom_site_fract_z
K1 K 0.000 0.500 0.250
Sr1 Sr 0.000 0.000 0.000
In1 In 0.000 0.000 0.500
```

=====

An optimized crystal structure of Cd2Pd. Source: the Alexandria database, functional PBE.

Results
spin magnetization: 0.0 Bohr magnetons per cell
formation energy from the elements: -266 meV per atom

The structure in CIF format:
```
data_Cd2Pd
_chemical_formula_sum 'Cd8 Pd4'
_cell_length_a 4.717
_cell_length_b 4.735
_cell_length_c 10.149
_cell_angle_alpha 90.00
_cell_angle_beta 90.00
_cell_angle_gamma 90.00
_space_group_name_H-M_alt 'F m m m'
_space_group_IT_number 69
_space_group_name_Hall '-F 2 2'
loop_
_atom_site_label
_atom_site_type_symbol
_atom_site_fract_x
_atom_site_fract_y
_atom_site_fract_z
Cd1 Cd 0.000 0.000 0.155
Pd1 Pd 0.000 0.000 0.500
```

=====

An optimized crystal structure of MnCu2Re. Source: the Alexandria database, functional PBE.

Results
spin magnetization: 0.9 Bohr magnetons per cell
formation energy from the elements: 325 meV per atom
energy above the most stable polymorph in this dataset: 136 meV per atom

The structure in CIF format:
```
data_MnCu2Re
_chemical_formula_sum 'Mn1 Cu2 Re1'
_cell_length_a 3.505
_cell_length_b 3.505
_cell_length_c 4.069
_cell_angle_alpha 90.00
_cell_angle_beta 90.00
_cell_angle_gamma 90.00
_space_group_name_H-M_alt 'P 4/m m m'
_space_group_IT_number 123
_space_group_name_Hall '-P 4 2'
loop_
_atom_site_label
_atom_site_type_symbol
_atom_site_fract_x
_atom_site_fract_y
_atom_site_fract_z
Mn1 Mn 0.000 0.000 0.000
Cu1 Cu 0.000 0.500 0.500
Re1 Re 0.500 0.500 0.000
```

=====

An optimized crystal structure of RbCuPCl2. Source: the Alexandria database, functional PBE.

Results
spin magnetization: 1.9 Bohr magnetons per cell
energy above the most stable polymorph in this dataset: 0 meV per atom

The structure in CIF format:
```
data_RbCuPCl2
_chemical_formula_sum 'Rb1 Cu1 P1 Cl2'
_cell_length_a 5.276
_cell_length_b 5.276
_cell_length_c 4.500
_cell_angle_alpha 90.00
_cell_angle_beta 90.00
_cell_angle_gamma 90.00
_space_group_name_H-M_alt 'P 4/m m m'
_space_group_IT_number 123
_space_group_name_Hall '-P 4 2'
loop_
_atom_site_label
_atom_site_type_symbol
_atom_site_fract_x
_atom_site_fract_y
_atom_site_fract_z
Rb1 Rb 0.000 0.000 0.000
Cu1 Cu 0.500 0.500 0.500
P1 P 0.500 0.500 0.000
Cl1 Cl 0.000 0.500 0.500
```

=====

An optimized crystal structure of LaAl2Ru2C. Source: the Alexandria database, functional PBE.

Results
spin magnetization: 0.0 Bohr magnetons per cell
formation energy from the elements: -431 meV per atom

The structure in CIF format:
```
data_LaAl2Ru2C
_chemical_formula_sum 'La1 Al2 Ru2 C1'
_cell_length_a 4.145
_cell_length_b 4.145
_cell_length_c 5.751
_cell_angle_alpha 90.00
_cell_angle_beta 90.00
_cell_angle_gamma 90.00
_space_group_name_H-M_alt 'P 4/m m m'
_space_group_IT_number 123
_space_group_name_Hall '-P 4 2'
loop_
_atom_site_label
_atom_site_type_symbol
_atom_site_fract_x
_atom_site_fract_y
_atom_site_fract_z
La1 La 0.000 0.000 0.000
Al1 Al 0.500 0.500 0.233
Ru1 Ru 0.000 0.500 0.500
C1 C 0.000 0.000 0.500
```

=====

An optimized crystal structure of Pr5Ga2Ag. Source: the Alexandria database, functional PBE.

Results
spin magnetization: 0.0 Bohr magnetons per cell
formation energy from the elements: -337 meV per atom
energy above the most stable polymorph in this dataset: 0 meV per atom

The structure in CIF format:
```
data_Pr5Ga2Ag
_chemical_formula_sum 'Pr20 Ga8 Ag4'
_cell_length_a 7.805
_cell_length_b 7.805
_cell_length_c 15.476
_cell_angle_alpha 90.00
_cell_angle_beta 90.00
_cell_angle_gamma 90.00
_space_group_name_H-M_alt 'I 4/m c m'
_space_group_IT_number 140
_space_group_name_Hall '-I 4 2c'
loop_
_atom_site_label
_atom_site_type_symbol
_atom_site_fract_x
_atom_site_fract_y
_atom_site_fract_z
Pr1 Pr 0.000 0.000 0.000
Pr2 Pr 0.171 0.329 0.146
Ga1 Ga 0.118 0.382 0.500
Ag1 Ag 0.000 0.000 0.250
```